# FeNi3P2 PBE-GGA relaxed
data_FeNi3P2
_chemical_formula_sum 'Fe4 Ni12 P8'
_symmetry_space_group_name_H-M 'I b a m'
_symmetry_Int_Tables_number 72
_symmetry_space_group_name_Hall '-I 2 2c'
_cell_length_a 4.9015
_cell_length_b 11.1878
_cell_length_c 4.9965
_cell_angle_alpha 90.00
_cell_angle_beta 90.00
_cell_angle_gamma 90.00
loop_
_atom_site_label
_atom_site_fract_x
_atom_site_fract_y
_atom_site_fract_z
Fe1 0.0000 0.0000 0.2500
Ni1 0.0000 0.5000 0.2500
Ni2 0.2455 0.3169 0.0000
P1 0.2324 0.1244 0.0000
# Energy of formation, meV/atom: -483
# Size of the total moment, μB per formula unit: 0.00
# N(E_F), states/eV/cell: 10.0
# Crystal system: orthorhombic


# Sm2Y4TmSc PBE-GGA relaxed
data_Sm2Y4TmSc
_chemical_formula_sum 'Sm2 Y4 Tm1 Sc1'
_symmetry_space_group_name_H-M 'P 4/m m m'
_symmetry_Int_Tables_number 123
_symmetry_space_group_name_Hall '-P 4 2'
_cell_length_a 5.0150
_cell_length_b 5.0150
_cell_length_c 9.9580
_cell_angle_alpha 90.00
_cell_angle_beta 90.00
_cell_angle_gamma 90.00
loop_
_atom_site_label
_atom_site_fract_x
_atom_site_fract_y
_atom_site_fract_z
Sm1 0.0000 0.0000 0.0000
Sm2 0.5000 0.5000 0.5000
Y1 0.0000 0.5000 0.2461
Tm1 0.0000 0.0000 0.5000
Sc1 0.5000 0.5000 0.0000
# Energy of formation, meV/atom: 37
# Size of the total moment, μB per formula unit: 0.00
# N(E_F), states/eV/cell: 12.2
# Crystal system: tetragonal


# Ta2AlMo PBE-GGA relaxed
data_Ta2AlMo
_chemical_formula_sum 'Ta4 Al2 Mo2'
_symmetry_space_group_name_H-M 'C 1 2/m 1'
_symmetry_Int_Tables_number 12
_symmetry_space_group_name_Hall '-C 2y'
_cell_length_a 5.5995
_cell_length_b 9.1653
_cell_length_c 2.7899
_cell_angle_alpha 90.00
_cell_angle_beta 109.13
_cell_angle_gamma 90.00
loop_
_atom_site_label
_atom_site_fract_x
_atom_site_fract_y
_atom_site_fract_z
Ta1 0.2500 0.2500 0.0000
Al1 0.0000 0.0000 0.5000
Mo1 0.0000 0.5000 0.5000
# Energy of formation, meV/atom: -109
# Size of the total moment, μB per formula unit: 0.00
# N(E_F), states/eV/cell: 6.7
# Crystal system: monoclinic


# Pr4NdTe7 PBE-GGA relaxed
data_Pr4NdTe7
_chemical_formula_sum 'Pr8 Nd2 Te14'
_symmetry_space_group_name_H-M 'C 1 m 1'
_symmetry_Int_Tables_number 8
_symmetry_space_group_name_Hall 'C -2y'
_cell_length_a 14.8457
_cell_length_b 4.3953
_cell_length_c 13.5725
_cell_angle_alpha 90.00
_cell_angle_beta 104.46
_cell_angle_gamma 90.00
loop_
_atom_site_label
_atom_site_fract_x
_atom_site_fract_y
_atom_site_fract_z
Pr1 0.0000 0.0000 0.0000
Pr2 0.0856 0.5000 0.3869
Pr3 0.1853 0.0000 0.7653
Pr4 0.3853 0.5000 0.5753
Nd1 0.2699 0.5000 0.1523
Te1 0.0469 0.5000 0.6244
Te2 0.1273 0.5000 0.9255
Te3 0.1447 0.0000 0.2272
Te4 0.2237 0.0000 0.5276
Te5 0.3471 0.5000 0.7924
Te6 0.3837 0.0000 0.0759
Te7 0.4232 0.5000 0.3580
# Size of the total moment, μB per formula unit: 0.00
# N(E_F), states/eV/cell: 4.8
# Crystal system: monoclinic
# Formation energy without anion corrections, eV per atom: -1.442


# Y2TmGe3Ir4 PBE-GGA relaxed
data_Y2TmGe3Ir4
_chemical_formula_sum 'Y2 Tm1 Ge3 Ir4'
_symmetry_space_group_name_H-M 'P -4 m 2'
_symmetry_Int_Tables_number 115
_symmetry_space_group_name_Hall 'P -4 -2'
_cell_length_a 4.1397
_cell_length_b 4.1397
_cell_length_c 11.2104
_cell_angle_alpha 90.00
_cell_angle_beta 90.00
_cell_angle_gamma 90.00
loop_
_atom_site_label
_atom_site_fract_x
_atom_site_fract_y
_atom_site_fract_z
Y1 0.0000 0.5000 0.2278
Tm1 0.0000 0.0000 0.5000
Ge1 0.0000 0.5000 0.8760
Ge2 0.5000 0.5000 0.5000
Ir1 0.0000 0.0000 0.0000
Ir2 0.0000 0.5000 0.6591
Ir3 0.5000 0.5000 0.0000
# Energy of formation, meV/atom: -804
# Size of the total moment, μB per formula unit: 0.00
# N(E_F), states/eV/cell: 4.6
# Crystal system: tetragonal


# Bi12Sb3Au5 PBE-GGA relaxed
data_Bi12Sb3Au5
_chemical_formula_sum 'Bi96 Sb24 Au40'
_symmetry_space_group_name_H-M 'I a -3 d'
_symmetry_Int_Tables_number 230
_symmetry_space_group_name_Hall '-I 4bd 2c 3'
_cell_length_a 17.5731
_cell_length_b 17.5731
_cell_length_c 17.5731
_cell_angle_alpha 90.00
_cell_angle_beta 90.00
_cell_angle_gamma 90.00
loop_
_atom_site_label
_atom_site_fract_x
_atom_site_fract_y
_atom_site_fract_z
Bi1 0.0151 0.0646 0.6539
Sb1 0.0000 0.2500 0.1250
Au1 0.0000 0.0000 0.0000
Au2 0.0000 0.2500 0.3750
# Size of the total moment, μB per formula unit: 0.00
# N(E_F), states/eV/cell: 117.8
# Crystal system: cubic
# Formation energy without anion corrections, eV per atom: 0.188


# K4NdTh3Te8 PBE-GGA relaxed
data_K4NdTh3Te8
_chemical_formula_sum 'K12 Nd3 Th9 Te24'
_symmetry_space_group_name_H-M 'R -3 m'
_symmetry_Int_Tables_number 166
_symmetry_space_group_name_Hall '-R 3 2"'
_cell_length_a 9.0014
_cell_length_b 9.0014
_cell_length_c 25.3442
_cell_angle_alpha 90.00
_cell_angle_beta 90.00
_cell_angle_gamma 120.00
loop_
_atom_site_label
_atom_site_fract_x
_atom_site_fract_y
_atom_site_fract_z
K1 0.0000 0.0000 0.0000
K2 0.0000 0.5000 0.0000
Nd1 0.0000 0.0000 0.5000
Th1 0.0000 0.5000 0.5000
Te1 0.0000 0.0000 0.2401
Te2 0.0024 0.5012 0.7602
# Size of the total moment, μB per formula unit: 0.00
# N(E_F), states/eV/cell: 31.2
# Crystal system: trigonal
# Formation energy without anion corrections, eV per atom: -1.233


# TbHo2In PBE-GGA relaxed
data_TbHo2In
_chemical_formula_sum 'Tb1 Ho2 In1'
_symmetry_space_group_name_H-M 'P 4/m m m'
_symmetry_Int_Tables_number 123
_symmetry_space_group_name_Hall '-P 4 2'
_cell_length_a 4.8377
_cell_length_b 4.8377
_cell_length_c 4.8330
_cell_angle_alpha 90.00
_cell_angle_beta 90.00
_cell_angle_gamma 90.00
loop_
_atom_site_label
_atom_site_fract_x
_atom_site_fract_y
_atom_site_fract_z
Tb1 0.0000 0.0000 0.0000
Ho1 0.0000 0.5000 0.5000
In1 0.5000 0.5000 0.0000
# Energy of formation, meV/atom: -266
# E above lowest polymorph, eV/atom: 0.000
# Size of the total moment, μB per formula unit: 0.00
# N(E_F), states/eV/cell: 6.0
# Crystal system: tetragonal


# Nd3Sm6ErTm2 PBE-GGA relaxed
data_Nd3Sm6ErTm2
_chemical_formula_sum 'Nd6 Sm12 Er2 Tm4'
_symmetry_space_group_name_H-M 'C 1 2/m 1'
_symmetry_Int_Tables_number 12
_symmetry_space_group_name_Hall '-C 2y'
_cell_length_a 6.2566
_cell_length_b 10.8371
_cell_length_c 11.9328
_cell_angle_alpha 90.00
_cell_angle_beta 100.06
_cell_angle_gamma 90.00
loop_
_atom_site_label
_atom_site_fract_x
_atom_site_fract_y
_atom_site_fract_z
Nd1 0.0000 0.0000 0.0000
Nd2 0.0000 0.3333 0.0000
Sm1 0.2483 0.0000 0.7446
Sm2 0.2486 0.3332 0.7447
Er1 0.0000 0.5000 0.5000
Tm1 0.0000 0.1667 0.5000
# Energy of formation, meV/atom: 19
# Size of the total moment, μB per formula unit: 0.00
# N(E_F), states/eV/cell: 31.7
# Crystal system: monoclinic


# Mo2Ru2Rh PBE-GGA relaxed
data_Mo2Ru2Rh
_chemical_formula_sum 'Mo2 Ru2 Rh1'
_symmetry_space_group_name_H-M 'P -1'
_symmetry_Int_Tables_number 2
_symmetry_space_group_name_Hall '-P 1'
_cell_length_a 3.8896
_cell_length_b 4.7427
_cell_length_c 4.7939
_cell_angle_alpha 80.06
_cell_angle_beta 66.15
_cell_angle_gamma 65.88
loop_
_atom_site_label
_atom_site_fract_x
_atom_site_fract_y
_atom_site_fract_z
Mo1 0.0882 0.2077 0.1163
Ru1 0.3015 0.5981 0.2984
Rh1 0.5000 0.0000 0.5000
# Energy of formation, meV/atom: 3
# E above lowest polymorph, eV/atom: 0.000
# Size of the total moment, μB per formula unit: 0.00
# N(E_F), states/eV/cell: 5.6
# Crystal system: triclinic


# Rb2ReSnI6 PBE-GGA relaxed
data_Rb2ReSnI6
_chemical_formula_sum 'Rb4 Re2 Sn2 I12'
_symmetry_space_group_name_H-M 'I 4/m m m'
_symmetry_Int_Tables_number 139
_symmetry_space_group_name_Hall '-I 4 2'
_cell_length_a 8.4030
_cell_length_b 8.4030
_cell_length_c 11.9137
_cell_angle_alpha 90.00
_cell_angle_beta 90.00
_cell_angle_gamma 90.00
loop_
_atom_site_label
_atom_site_fract_x
_atom_site_fract_y
_atom_site_fract_z
Rb1 0.0000 0.5000 0.2500
Re1 0.0000 0.0000 0.0000
Sn1 0.0000 0.0000 0.5000
I1 0.0000 0.0000 0.2341
I2 0.2341 0.2341 0.0000
# Size of the total moment, μB per formula unit: 2.52
# N(E_F), states/eV/cell: 16.3
# Crystal system: tetragonal
# Formation energy without anion corrections, eV per atom: -0.436


# MgIrW2 PBE-GGA relaxed
data_MgIrW2
_chemical_formula_sum 'Mg1 Ir1 W2'
_symmetry_space_group_name_H-M 'P m m m'
_symmetry_Int_Tables_number 47
_symmetry_space_group_name_Hall '-P 2 2'
_cell_length_a 3.0778
_cell_length_b 4.3750
_cell_length_c 4.6695
_cell_angle_alpha 90.00
_cell_angle_beta 90.00
_cell_angle_gamma 90.00
loop_
_atom_site_label
_atom_site_fract_x
_atom_site_fract_y
_atom_site_fract_z
Mg1 0.0000 0.0000 0.0000
Ir1 0.5000 0.5000 0.0000
W1 0.0000 0.5000 0.5000
W2 0.5000 0.0000 0.5000
# Energy of formation, meV/atom: 108
# Size of the total moment, μB per formula unit: 0.00
# N(E_F), states/eV/cell: 2.1
# Crystal system: orthorhombic